(1)
Material: NaCoCu2
Method: DFT, SCAN
State: single point on PBEsol structure

Summary:
* electronic total energy: -49.90 eV per formula unit
* energy relative to the elements: 2.02 eV/f.u.

Cell lengths 4.200, 4.200, 4.200 Å; angles 60.00, 60.00, 60.00 degrees
Last column: magnetic moment on the atom in μB.
Element x y z (fractional)
Cu1 0.750 0.750 0.750  0.05
Cu2 0.250 0.250 0.250  0.05
Co1 0.500 0.500 0.500  1.97
Na1 0.000 0.000 0.000  -0.01

---

(2)
Material: Nb2Co2Cu
Method: DFT, SCAN
State: single point on PBEsol structure

Summary:
* electronic total energy: -115.86 eV per formula unit
* energy relative to the elements: 0.21 eV/f.u.

Cell lengths 3.003, 6.756, 6.756 Å; angles 90.00, 90.00, 90.00 degrees
Element x y z (fractional)
Nb1 0.500 0.326 0.174
Nb2 0.500 0.674 0.826
Nb3 0.500 0.826 0.326
Nb4 0.500 0.174 0.674
Cu1 0.000 0.000 0.000
Cu2 0.000 0.500 0.500
Co1 0.000 0.130 0.370
Co2 0.000 0.630 0.130
Co3 0.000 0.870 0.630
Co4 0.000 0.370 0.870

---

(3)
Material: Nb3CoCu
Method: DFT, SCAN
State: single point on PBEsol structure

Summary:
* electronic total energy: -127.47 eV per formula unit
* energy relative to the elements: 4.42 eV/f.u.

Cell lengths 4.511, 4.511, 4.511 Å; angles 90.00, 90.00, 90.00 degrees
Element x y z (fractional)
Nb1 0.500 0.000 0.000
Nb2 0.000 0.000 0.500
Nb3 0.000 0.500 0.000
Cu1 0.500 0.500 0.500
Co1 0.000 0.000 0.000

---

(4)
Material: Nd2Co5Cu5
Method: DFT, SCAN
State: single point on PBEsol structure

Summary:
* electronic total energy: -249.67 eV per formula unit
* energy relative to the elements: 0.01 eV/f.u.

Cell lengths 3.978, 4.983, 8.455 Å; angles 90.00, 90.00, 90.00 degrees
Last column: magnetic moment on the atom in μB.
Element x y z (fractional)
Co1 0.000 0.000 0.162  1.54
Co2 0.000 0.500 0.348  1.50
Co3 0.000 0.000 0.838  1.54
Co4 0.500 0.500 0.500  1.58
Co5 0.000 0.500 0.652  1.50
Cu1 0.500 0.750 0.748  0.00
Cu2 0.500 0.000 0.000  -0.02
Cu3 0.500 0.750 0.252  0.00
Cu4 0.500 0.250 0.748  0.00
Cu5 0.500 0.250 0.252  0.00
Nd1 0.000 0.500 0.000  -0.18
Nd2 0.000 0.000 0.500  -0.20

---

(5)
Material: CoCu2Ni
Method: DFT, SCAN
State: single point on PBEsol structure

Summary:
* electronic total energy: -63.49 eV per formula unit
* energy relative to the elements: 0.38 eV/f.u.

Cell lengths 2.467, 3.512, 4.988 Å; angles 90.00, 90.00, 90.00 degrees
Last column: magnetic moment on the atom in μB.
Element x y z (fractional)
Co1 0.500 0.500 0.738  1.87
Cu1 0.000 0.000 0.001  0.03
Cu2 0.500 0.500 0.249  0.02
Ni1 0.000 0.000 0.512  0.69

---

(6)
Material: CoCu2Ni
Method: DFT, SCAN
State: single point on PBEsol structure

Summary:
* electronic total energy: -63.24 eV per formula unit
* energy relative to the elements: 0.64 eV/f.u.

Cell lengths 3.944, 3.944, 3.944 Å; angles 60.00, 60.00, 60.00 degrees
Last column: magnetic moment on the atom in μB.
Element x y z (fractional)
Cu1 0.250 0.250 0.250  0.09
Cu2 0.750 0.750 0.750  0.09
Co1 0.000 0.000 0.000  1.81
Ni1 0.500 0.500 0.500  -0.03

---

(7)
Material: CoCuNi
Method: DFT, SCAN
State: single point on PBEsol structure

Summary:
* electronic total energy: -48.37 eV per formula unit
* energy above the most stable polymorph in this dataset: 0.027 eV per atom
* energy relative to the elements: 0.31 eV/f.u.

Cell lengths 2.454, 3.519, 4.276 Å; angles 114.29, 106.67, 90.00 degrees
Last column: magnetic moment on the atom in μB.
Element x y z (fractional)
Cu1 0.667 0.667 0.333  0.07
Ni1 0.336 0.336 0.672  0.74
Co1 0.997 0.997 0.995  1.91

---

(8)
Material: CoCuNi6
Method: DFT, SCAN
State: single point on PBEsol structure

Summary:
* electronic total energy: -129.36 eV per formula unit
* energy relative to the elements: 0.18 eV/f.u.

Cell lengths 6.008, 6.008, 9.832 Å; angles 90.00, 90.00, 109.49 degrees
Last column: magnetic moment on the atom in μB.
Element x y z (fractional)
Ni1 0.122 0.374 0.376  0.80
Ni2 0.876 0.628 0.126  0.73
Ni3 0.628 0.876 0.874  0.73
Ni4 0.248 0.752 0.253  0.78
Ni5 0.752 0.248 0.253  0.78
Ni6 0.248 0.752 0.747  0.78
Ni7 0.372 0.124 0.126  0.73
Ni8 0.122 0.374 0.624  0.80
Ni9 0.124 0.372 0.874  0.73
Ni10 0.374 0.122 0.376  0.80
Ni11 0.878 0.626 0.376  0.80
Ni12 0.000 0.000 0.000  0.74
Ni13 0.752 0.248 0.747  0.78
Ni14 0.000 0.000 0.500  0.85
Ni15 0.124 0.372 0.126  0.73
Ni16 0.628 0.876 0.126  0.73
Ni17 0.876 0.628 0.874  0.73
Ni18 0.626 0.878 0.376  0.80
Ni19 0.500 0.500 0.500  0.80
Ni20 0.374 0.122 0.624  0.80
Ni21 0.626 0.878 0.624  0.80
Ni22 0.500 0.500 0.000  0.64
Ni23 0.878 0.626 0.624  0.80
Ni24 0.372 0.124 0.874  0.73
Cu1 0.500 0.500 0.750  0.00
Cu2 0.749 0.251 0.000  0.01
Cu3 0.251 0.749 0.000  0.01
Cu4 0.500 0.500 0.250  0.00
Co1 0.000 0.000 0.248  1.98
Co2 0.750 0.250 0.500  2.01
Co3 0.000 0.000 0.752  1.98
Co4 0.250 0.750 0.500  2.01

---

(9)
Material: CoCuNi
Method: DFT, SCAN
State: single point on PBEsol structure

Summary:
* electronic total energy: -48.45 eV per formula unit
* energy above the most stable polymorph in this dataset: 0.000 eV per atom
* energy relative to the elements: 0.23 eV/f.u.

Cell lengths 2.460, 2.460, 6.100 Å; angles 90.00, 90.00, 120.00 degrees
Last column: magnetic moment on the atom in μB.
Element x y z (fractional)
Cu1 0.667 0.333 0.666  0.02
Co1 0.000 0.000 0.006  1.87
Ni1 0.333 0.667 0.327  0.73

---

(10)
Material: CoCu2Ni
Method: DFT, SCAN
State: single point on PBEsol structure

Summary:
* electronic total energy: -63.38 eV per formula unit
* energy relative to the elements: 0.50 eV/f.u.

Cell lengths 2.562, 4.098, 4.808 Å; angles 115.22, 105.45, 90.00 degrees
Last column: magnetic moment on the atom in μB.
Element x y z (fractional)
Co1 0.000 0.500 0.000  1.92
Cu1 0.751 0.751 0.502  0.00
Cu2 0.249 0.249 0.498  0.00
Ni1 0.500 0.000 0.000  0.61

---

(11)
Material: CoCu2Ni
Method: DFT, SCAN
State: single point on PBEsol structure

Summary:
* electronic total energy: -63.54 eV per formula unit
* energy relative to the elements: 0.34 eV/f.u.

Cell lengths 2.465, 2.465, 8.317 Å; angles 81.48, 81.48, 60.00 degrees
Last column: magnetic moment on the atom in μB.
Element x y z (fractional)
Ni1 0.500 0.500 0.500  0.42
Cu1 0.250 0.250 0.251  0.00
Cu2 0.750 0.750 0.749  0.00
Co1 0.000 0.000 0.000  1.86

---

(12)
Material: CoCuNi
Method: DFT, SCAN
State: single point on PBEsol structure

Summary:
* electronic total energy: -48.44 eV per formula unit
* energy above the most stable polymorph in this dataset: 0.002 eV per atom
* energy relative to the elements: 0.24 eV/f.u.

Cell lengths 2.453, 2.453, 5.586 Å; angles 102.68, 102.68, 90.00 degrees
Last column: magnetic moment on the atom in μB.
Element x y z (fractional)
Ni1 0.338 0.338 0.676  0.68
Co1 0.995 0.995 0.990  1.89
Cu1 0.667 0.667 0.334  0.04

---

(13)
Material: CoCu2Ni
Method: DFT, SCAN
State: single point on PBEsol structure

Summary:
* electronic total energy: -63.61 eV per formula unit
* energy relative to the elements: 0.26 eV/f.u.

Cell lengths 2.466, 2.466, 7.099 Å; angles 90.00, 90.00, 90.00 degrees
Last column: magnetic moment on the atom in μB.
Element x y z (fractional)
Ni1 0.000 0.000 0.508  0.64
Co1 0.500 0.500 0.741  1.87
Cu1 0.500 0.500 0.255  -0.01
Cu2 0.000 0.000 0.997  0.03

---

(14)
Material: Co6CuNi
Method: DFT, SCAN
State: single point on PBEsol structure

Summary:
* electronic total energy: -134.85 eV per formula unit
* energy relative to the elements: 0.35 eV/f.u.

Cell lengths 6.014, 6.014, 9.843 Å; angles 90.00, 90.00, 109.53 degrees
Last column: magnetic moment on the atom in μB.
Element x y z (fractional)
Co1 0.749 0.251 0.752  1.87
Co2 0.623 0.874 0.124  1.87
Co3 0.377 0.126 0.124  1.87
Co4 0.500 0.500 0.000  1.88
Co5 0.873 0.624 0.626  1.87
Co6 0.624 0.873 0.374  1.87
Co7 0.000 0.000 0.500  1.88
Co8 0.377 0.126 0.876  1.87
Co9 0.127 0.376 0.374  1.87
Co10 0.251 0.749 0.248  1.87
Co11 0.376 0.127 0.626  1.87
Co12 0.749 0.251 0.248  1.87
Co13 0.126 0.377 0.124  1.87
Co14 0.000 0.000 0.000  1.88
Co15 0.874 0.623 0.876  1.87
Co16 0.126 0.377 0.876  1.87
Co17 0.873 0.624 0.374  1.87
Co18 0.874 0.623 0.124  1.87
Co19 0.500 0.500 0.500  1.87
Co20 0.127 0.376 0.626  1.87
Co21 0.251 0.749 0.752  1.87
Co22 0.376 0.127 0.374  1.87
Co23 0.623 0.874 0.876  1.87
Co24 0.624 0.873 0.626  1.87
Cu1 0.250 0.750 0.500  0.12
Cu2 0.750 0.250 0.500  0.12
Cu3 0.000 0.000 0.750  0.13
Cu4 0.000 0.000 0.250  0.13
Ni1 0.250 0.750 0.000  0.68
Ni2 0.500 0.500 0.250  0.66
Ni3 0.750 0.250 0.000  0.68
Ni4 0.500 0.500 0.750  0.66

---

(15)
Material: CoCu2Ni
Method: DFT, SCAN
State: single point on PBEsol structure

Summary:
* electronic total energy: -63.65 eV per formula unit
* energy relative to the elements: 0.23 eV/f.u.

Cell lengths 2.473, 2.473, 8.281 Å; angles 81.41, 81.41, 60.00 degrees
Last column: magnetic moment on the atom in μB.
Element x y z (fractional)
Ni1 0.502 0.502 0.495  0.73
Cu1 0.999 0.999 0.002  -0.01
Cu2 0.751 0.751 0.747  0.01
Co1 0.248 0.248 0.256  1.89

---

(16)
Material: Co4CuNiS8
Method: DFT, SCAN
State: single point on PBEsol structure

Summary:
* ΔE_f (raw): -734 kJ/mol of formula units
* electronic total energy: -185.22 eV per formula unit

Cell lengths 6.544, 6.544, 6.544 Å; angles 60.00, 60.00, 60.00 degrees
Element x y z (fractional)
S1 0.634 0.634 0.097
S2 0.662 0.113 0.113
S3 0.113 0.662 0.113
S4 0.634 0.097 0.634
S5 0.113 0.113 0.113
S6 0.097 0.634 0.634
S7 0.634 0.634 0.634
S8 0.113 0.113 0.662
Co1 0.875 0.875 0.376
Co2 0.875 0.875 0.875
Co3 0.376 0.875 0.875
Co4 0.875 0.376 0.875
Ni1 0.500 0.500 0.500
Cu1 0.250 0.250 0.250

---

(17)
Material: Co11CuO16
Method: DFT, SCAN
State: single point on PBEsol structure

Summary:
* ΔE_f (raw): -3845 kJ/mol of formula units
* electronic total energy: -345.09 eV per formula unit

Cell lengths 5.667, 5.644, 7.992 Å; angles 90.00, 90.39, 90.00 degrees
Last column: magnetic moment on the atom in μB.
Element x y z (fractional)
O1 0.749 0.725 0.488  0.05
O2 0.738 0.766 0.014  -0.06
O3 0.251 0.275 0.512  0.05
O4 0.738 0.234 0.014  -0.06
O5 0.749 0.275 0.488  0.05
O6 0.262 0.766 0.986  -0.06
O7 0.969 0.000 0.251  -0.06
O8 0.025 0.500 0.738  0.05
O9 0.479 0.000 0.761  0.05
O10 0.031 0.000 0.749  -0.06
O11 0.521 0.500 0.262  0.05
O12 0.262 0.234 0.986  -0.06
O13 0.479 0.500 0.738  0.05
O14 0.521 0.000 0.239  0.05
O15 0.975 0.500 0.262  0.05
O16 0.251 0.725 0.512  0.05
Co1 0.254 0.749 0.748  0.06
Co2 0.753 0.000 0.625  2.47
Co3 0.500 0.500 0.500  0.06
Co4 0.247 0.500 0.123  2.44
Co5 0.247 0.000 0.375  2.47
Co6 0.753 0.500 0.877  2.44
Co7 0.500 0.000 0.000  0.06
Co8 0.254 0.251 0.748  0.06
Co9 0.000 0.500 0.500  0.06
Co10 0.746 0.251 0.252  0.06
Co11 0.746 0.749 0.252  0.06
Cu1 0.000 0.000 0.000  -0.86

---

(18)
Material: CoCuO3
Method: DFT, SCAN
State: single point on PBEsol structure

Summary:
* ΔE_f (raw): -50 kJ/mol of formula units
* electronic total energy: -51.72 eV per formula unit

Cell lengths 3.662, 3.662, 3.662 Å; angles 90.00, 90.00, 90.00 degrees
Last column: magnetic moment on the atom in μB.
Element x y z (fractional)
Co1 0.500 0.500 0.500  2.73
Cu1 0.000 0.000 0.000  0.03
O1 0.500 0.000 0.000  0.23
O2 0.000 0.000 0.500  0.23
O3 0.000 0.500 0.000  0.23

---

(19)
Material: Co5CuO8
Method: DFT, SCAN
State: single point on PBEsol structure

Summary:
* ΔE_f (raw): -1812 kJ/mol of formula units
* electronic total energy: -170.36 eV per formula unit

Cell lengths 5.644, 5.644, 5.695 Å; angles 60.29, 60.29, 60.00 degrees
Last column: magnetic moment on the atom in μB.
Element x y z (fractional)
O1 0.720 0.252 0.775  -0.07
O2 0.748 0.748 0.225  -0.07
O3 0.261 0.261 0.217  0.05
O4 0.739 0.739 0.783  0.05
O5 0.252 0.252 0.775  -0.07
O6 0.748 0.280 0.225  -0.07
O7 0.252 0.720 0.775  -0.07
O8 0.280 0.748 0.225  -0.07
Co1 0.500 0.500 0.000  0.06
Co2 0.124 0.124 0.629  2.40
Co3 0.500 0.000 0.000  0.06
Co4 0.876 0.876 0.371  2.40
Co5 0.000 0.500 0.000  0.06
Cu1 0.500 0.500 0.500  -0.88

---

(20)
Material: CoCuO2
Method: DFT, SCAN
State: single point on PBEsol structure

Summary:
* ΔE_f (raw): -470 kJ/mol of formula units
* electronic total energy: -49.84 eV per formula unit

Cell lengths 2.815, 2.815, 5.835 Å; angles 76.04, 76.04, 60.00 degrees
Element x y z (fractional)
O1 0.109 0.109 0.672
O2 0.891 0.891 0.328
Co1 0.500 0.500 0.500
Cu1 0.000 0.000 0.000

---

(21)
Material: CoCuP2O7
Method: DFT, SCAN
State: single point on PBEsol structure

Summary:
* ΔE_f (raw): -2038 kJ/mol of formula units
* electronic total energy: -118.04 eV per formula unit

Cell lengths 4.504, 5.232, 5.232 Å; angles 102.67, 99.17, 99.17 degrees
Last column: magnetic moment on the atom in μB.
Element x y z (fractional)
P1 0.908 0.603 0.814  0.00
P2 0.092 0.186 0.397  0.00
O1 0.785 0.029 0.213  0.04
O2 0.000 0.337 0.663  0.00
O3 0.299 0.010 0.508  0.07
O4 0.701 0.492 0.990  0.07
O5 0.747 0.738 0.623  0.00
O6 0.215 0.787 0.971  0.04
O7 0.253 0.377 0.262  0.00
Co1 0.500 0.723 0.277  0.75
Cu1 0.500 0.099 0.901  0.63

---

(22)
Material: Sr2CoCu2O7
Method: DFT, SCAN
State: single point on PBEsol structure

Summary:
* ΔE_f (raw): -1718 kJ/mol of formula units
* electronic total energy: -153.68 eV per formula unit

Cell lengths 5.107, 5.102, 12.568 Å; angles 101.71, 101.72, 90.00 degrees
Last column: magnetic moment on the atom in μB.
Element x y z (fractional)
Sr1 0.124 0.149 0.292  0.00
Sr2 0.624 0.643 0.292  0.00
Sr3 0.832 0.851 0.708  0.00
Sr4 0.332 0.357 0.708  0.00
Cu1 0.422 0.943 0.885  -0.01
Cu2 0.922 0.442 0.885  -0.01
Cu3 0.536 0.057 0.115  -0.01
Cu4 0.036 0.558 0.115  -0.01
O1 0.297 0.814 0.638  0.26
O2 0.303 0.324 0.147  0.02
O3 0.803 0.824 0.149  0.02
O4 0.803 0.323 0.147  0.02
O5 0.154 0.175 0.851  0.02
O6 0.659 0.186 0.362  0.26
O7 0.156 0.676 0.853  0.02
O8 0.656 0.677 0.853  0.02
O9 0.797 0.324 0.638  0.26
O10 0.632 0.846 0.500  0.20
O11 0.159 0.676 0.362  0.26
O12 0.654 0.176 0.851  0.02
O13 0.303 0.825 0.149  0.02
O14 0.132 0.154 0.500  0.20
Co1 0.780 0.177 0.500  2.16
Co2 0.280 0.823 0.500  2.16